VASP calculation (PBE) on UV4 after structural relaxation.

Computed properties:
raw total energy = -42.078 eV for the cell shown
space group = Pm-3m (221)
total moment = 2.440 μB/cell

Cell: 4.5158 4.5158 4.5158 Å, 90.00 90.00 90.00°
Last column: nearest neighbours and their distance in Å.
Fractional coordinates of all 5 atoms:
U 0.0000 0.0000 0.0000  6 V 2.26
V 0.0000 0.0000 0.5000  2 U 2.26
V 0.0000 0.5000 0.0000  2 U 2.26
V 0.5000 0.0000 0.0000  2 U 2.26
V 0.5000 0.5000 0.5000  12 V 3.19

VASP calculation (PBE) on U3V after structural relaxation.

Computed properties:
distance to the lowest polymorph of the same formula = 0.30 kcal/mol of atoms
space group = Imm2 (44)
total moment = 0.001 μB/cell

Cell: 5.8566 5.8566 5.8566 Å, 152.45 62.72 124.88°
Last column: nearest neighbours and their distance in Å.
Fractional coordinates of all 4 atoms:
U 0.0000 0.0000 0.0000  4 U 2.65-2.79, 2 V 2.95
U 0.4613 0.2268 0.2344  3 U 2.65-2.79, 1 V 2.88
U 0.9924 0.2268 0.7656  3 U 2.65-2.79, 1 V 2.88
V 0.5205 0.0205 0.5000  2 V 2.79, 4 U 2.88-2.95

Question: The lowest total moment belongs to which entry?
Answer: U3V

Question: Which value of total moment does entry 2 give?
Answer: 0.001 μB/cell